No. 1
The following is a DFT calculation (PBE-GGA) of a relaxed GeMoS2Cl crystal.

Output
E_tot: -4.999 eV per atom
Formation energy without anion corrections: 0.111 eV/atom
SG: No. 123

a b c (Å): 4.665 4.665 4.949
angles (deg): 90.00 90.00 90.00
Element x y z (fractional)
Mo  0.000  0.000  0.000
Cl  0.000  0.000  0.500
S  0.500  0.000  0.000
S  0.000  0.500  0.000
Ge  0.500  0.500  0.500


No. 2
The following is a DFT calculation (PBE-GGA) of a relaxed Rb3H4Pt crystal.

Output
E_tot: -3.047 eV per atom
SG: No. 44

a b c (Å): 6.434 6.434 6.434
angles (deg): 81.23 126.71 123.69
Element x y z (fractional)
H  0.292  0.775  0.518
H  0.020  0.672  0.692
H  0.020  0.328  0.348
H  0.743  0.225  0.518
Rb  0.520  0.262  0.781
Rb  0.520  0.738  0.258
Rb  0.018  0.000  0.018
Pt  0.019  0.500  0.519


No. 3
The following is a DFT calculation (PBE-GGA) of a relaxed NaP2Pd8 crystal.

Output
E_form: -0.357 eV per atom
E_tot: -5.237 eV per atom
SG: No. 12

a b c (Å): 4.497 6.523 6.523
angles (deg): 111.00 98.13 98.13
Element x y z (fractional)
P  0.000  0.681  0.319
P  0.000  0.319  0.681
Pd  0.500  0.746  0.254
Pd  0.500  0.254  0.746
Pd  0.089  0.329  0.066
Pd  0.089  0.066  0.329
Pd  0.911  0.934  0.671
Pd  0.911  0.671  0.934
Pd  0.300  0.608  0.608
Pd  0.700  0.392  0.392
Na  0.500  0.000  0.000


No. 4
The following is a DFT calculation (PBE-GGA) of a relaxed CaUPt6 crystal.

Output
E_form: -0.492 eV per atom
E_tot: -6.684 eV per atom
SG: No. 200

a b c (Å): 5.268 5.268 5.268
angles (deg): 90.00 90.00 90.00
Element x y z (fractional)
Pt  0.000  0.500  0.752
Pt  0.500  0.752  0.000
Pt  0.000  0.500  0.248
Pt  0.752  0.000  0.500
Pt  0.500  0.248  0.000
Pt  0.248  0.000  0.500
U  0.000  0.000  0.000
Ca  0.500  0.500  0.500